(1)
VASP calculation (PBE) on crystalline SrIn2Cu at its relaxed geometry.

Structure (POSCAR):
```
SrIn2Cu
1.0
-3.559 -3.445 0.614
1.736 -1.068 4.072
-2.680 3.117 1.959
In Sr Cu
2 1 1
Direct
0.000 0.000 0.000
0.000 0.500 0.500
0.500 0.500 0.000
0.500 0.000 0.500
```

Output
electronic total energy = -11.453 eV for the cell shown
total magnetic moment = 0.000 μB per atom
formation enthalpy at 0 K = -49.6 meV/atom

(2)
VASP calculation (PBE) on crystalline RbNi2Mo at its relaxed geometry.

Structure (POSCAR):
```
RbNi2Mo
1.0
-1.705 -4.335 0.264
-4.494 -0.801 -0.963
-1.180 -2.284 -3.893
Rb Ni Mo
1 2 1
Direct
0.000 0.000 0.000
0.750 0.750 0.750
0.250 0.250 0.250
0.500 0.500 0.500
```

Output
electronic total energy = -17.414 eV for the cell shown
total magnetic moment = 0.613 μB per atom
ΔE to the lowest computed polymorph = 222 meV/atom
formation enthalpy at 0 K = 1486.7 meV/atom

(3)
VASP calculation (PBE) on crystalline BaAl2HAu at its relaxed geometry.

Structure (POSCAR):
```
BaAl2HAu
1.0
4.331 0.000 0.000
-2.165 6.240 0.000
0.000 0.000 7.379
Al Ba Au H
4 2 2 2
Direct
0.821 0.642 0.439
0.821 0.642 0.061
0.179 0.358 0.939
0.179 0.358 0.561
0.450 0.901 0.750
0.550 0.099 0.250
0.280 0.561 0.250
0.720 0.439 0.750
0.000 0.000 0.000
0.000 0.000 0.500
```

Output
electronic total energy = -36.596 eV for the cell shown
total magnetic moment = 0.000 μB per atom

(4)
VASP calculation (PBE) on crystalline TaMnRe at its relaxed geometry.

Structure (POSCAR):
```
TaMnRe
1.0
-0.835 3.672 2.024
-3.748 1.967 -0.600
-2.891 0.096 3.148
Mn Re Ta
1 1 1
Direct
0.000 0.000 0.000
0.500 0.500 0.500
0.750 0.750 0.750
```

Output
electronic total energy = -30.820 eV for the cell shown
total magnetic moment = 1.047 μB per atom
ΔE to the lowest computed polymorph = 883 meV/atom
formation enthalpy at 0 K = 883.6 meV/atom

(5)
VASP calculation (PBE) on crystalline AcYInIr at its relaxed geometry.

Structure (POSCAR):
```
AcYInIr
1.0
-4.763 2.146 -1.003
-3.505 -2.605 -3.037
-4.374 -2.093 2.186
Y In Ac Ir
1 1 1 1
Direct
0.000 0.000 0.000
0.250 0.250 0.250
0.500 0.500 0.500
0.750 0.750 0.750
```

Output
electronic total energy = -23.584 eV for the cell shown
total magnetic moment = 0.000 μB per atom
formation enthalpy at 0 K = -352.9 meV/atom

(6)
VASP calculation (PBE) on crystalline K4Nb3PbO12 at its relaxed geometry.

Structure (POSCAR):
```
K4Nb3PbO12
1.0
7.145 0.000 0.000
-2.382 6.736 0.000
-2.382 -3.368 5.833
O K Nb Pb
12 4 3 1
Direct
0.000 0.737 0.737
0.500 0.750 0.250
0.263 0.000 0.263
0.500 0.250 0.750
0.737 0.737 0.000
0.250 0.500 0.750
0.263 0.263 0.000
0.250 0.750 0.500
0.737 0.000 0.737
0.000 0.263 0.263
0.750 0.500 0.250
0.750 0.250 0.500
0.000 0.500 0.000
0.500 0.500 0.500
0.000 0.000 0.500
0.500 0.000 0.000
0.000 0.500 0.500
0.500 0.500 0.000
0.500 0.000 0.500
0.000 0.000 0.000
```

Output
formation energy from raw total energies = -2040 meV per atom
electronic total energy = -138.607 eV for the cell shown
total magnetic moment = 0.003 μB per atom

(7)
VASP calculation (PBE) on crystalline PrRhCl6 at its relaxed geometry.

Structure (POSCAR):
```
PrRhCl6
1.0
-5.639 3.020 -0.316
-5.435 -3.380 -0.225
-3.981 -0.045 5.692
Rh Cl Pr
1 6 1
Direct
0.000 0.000 0.000
0.218 0.939 0.232
0.061 0.388 0.768
0.388 0.782 0.768
0.782 0.061 0.768
0.939 0.612 0.232
0.612 0.218 0.232
0.500 0.500 0.500
```

Output
formation energy from raw total energies = -1333 meV per atom
electronic total energy = -33.874 eV for the cell shown
total magnetic moment = 0.000 μB per atom

(8)
VASP calculation (PBE) on crystalline ScZn3Ag2 at its relaxed geometry.

Structure (POSCAR):
```
ScZn3Ag2
1.0
4.481 0.000 0.000
-2.240 3.881 0.000
0.000 0.000 11.916
Sc Zn Ag
2 6 4
Direct
0.000 0.000 0.250
0.000 0.000 0.750
0.667 0.333 0.862
0.333 0.667 0.362
0.000 0.000 0.000
0.000 0.000 0.500
0.667 0.333 0.638
0.333 0.667 0.138
0.667 0.333 0.404
0.333 0.667 0.596
0.667 0.333 0.096
0.333 0.667 0.904
```

Output
electronic total energy = -33.745 eV for the cell shown
total magnetic moment = 0.000 μB per atom
formation enthalpy at 0 K = -169.4 meV/atom

(9)
VASP calculation (PBE) on crystalline LiRhW2 at its relaxed geometry.

Structure (POSCAR):
```
LiRhW2
1.0
-3.634 -1.897 -8.750
-1.723 -3.888 -8.677
-4.208 -4.317 -7.552
W Li Rh
2 1 1
Direct
0.005 0.005 0.005
0.495 0.495 0.495
0.250 0.250 0.250
0.750 0.750 0.750
```

Output
electronic total energy = -34.062 eV for the cell shown
total magnetic moment = 0.000 μB per atom
ΔE to the lowest computed polymorph = 152 meV/atom
formation enthalpy at 0 K = 277.3 meV/atom

(10)
VASP calculation (PBE) on crystalline CoTeI2N at its relaxed geometry.

Structure (POSCAR):
```
CoTeI2N
1.0
4.865 0.000 0.000
0.000 4.865 0.000
0.000 0.000 4.950
N I Te Co
1 2 1 1
Direct
0.000 0.000 0.000
0.500 0.000 0.000
0.000 0.500 0.000
0.000 0.000 0.500
0.500 0.500 0.500
```

Output
formation energy from raw total energies = 1346 meV per atom
electronic total energy = -14.944 eV for the cell shown
total magnetic moment = 0.504 μB per atom
ΔE to the lowest computed polymorph = 771 meV/atom

(11)
VASP calculation (PBE) on crystalline MgTaIr2 at its relaxed geometry.

Structure (POSCAR):
```
MgTaIr2
1.0
-0.928 1.182 -2.615
-4.044 1.015 1.894
3.260 8.217 2.557
Mg Ir Ta
2 4 2
Direct
0.500 0.750 0.611
0.500 0.250 0.389
0.000 0.750 0.861
0.000 0.750 0.361
0.000 0.250 0.639
0.000 0.250 0.139
0.500 0.250 0.877
0.500 0.750 0.123
```

Output
electronic total energy = -66.280 eV for the cell shown
total magnetic moment = 0.000 μB per atom
ΔE to the lowest computed polymorph = 112 meV/atom
formation enthalpy at 0 K = -492.7 meV/atom

(12)
VASP calculation (PBE) on crystalline Eu2ZrSnO6 at its relaxed geometry.

Structure (POSCAR):
```
Eu2ZrSnO6
1.0
-3.477 -3.009 3.637
0.444 0.779 5.794
-4.271 2.756 2.923
Zr O Sn Eu
1 6 1 2
Direct
0.500 0.500 0.500
0.248 0.752 0.752
0.752 0.248 0.248
0.248 0.752 0.248
0.752 0.752 0.248
0.752 0.248 0.752
0.248 0.248 0.752
0.000 0.000 0.000
0.250 0.250 0.250
0.750 0.750 0.750
```

Output
formation energy from raw total energies = -2641 meV per atom
electronic total energy = -89.261 eV for the cell shown
total magnetic moment = 1.400 μB per atom

What is the formula in the tenth record?
CoTeI2N